The following is a DFT calculation (PBEsol) of crystalline Mg3PN at its relaxed geometry.

It has space group Pm-3m (No. 221), with a = 4.1535 Å, b = 4.1535 Å, c = 4.1535 Å, α = 90.00°, β = 90.00° and γ = 90.00°. Symmetry generates all atoms from Mg at (0.0000, 0.0000, 0.5000), P at (0.5000, 0.5000, 0.5000) and N at (0.0000, 0.0000, 0.0000).

For the total energy, the calculation gives -4.678 eV/atom. As for the density: 2.7 Mg/m³.

The following is a DFT calculation (PBEsol) of crystalline BaMo4P2O16 at its relaxed geometry.

It has space group I-42m (No. 121), with a = 7.4730 Å, b = 7.4730 Å, c = 11.1441 Å, α = 90.00°, β = 90.00° and γ = 90.00°. Symmetry generates all atoms from Ba at (0.0000, 0.0000, 0.0000), Mo at (0.1218, 0.1218, 0.6289), P at (0.0000, 0.5000, 0.0000), O at (0.1147, 0.3734, 0.0789), O at (0.1300, 0.1300, 0.4143) and O at (0.1394, 0.1394, 0.7790).

For the total energy, the calculation gives -8.514 eV/atom. As for the density: 4.5 Mg/m³.

The following is a DFT calculation (PBEsol) of crystalline ErTmPd2 at its relaxed geometry.

It has space group Fm-3m (No. 225), with a = 6.8258 Å, b = 6.8258 Å, c = 6.8258 Å, α = 90.00°, β = 90.00° and γ = 90.00°. Symmetry generates all atoms from Er at (0.0000, 0.0000, 0.0000), Tm at (0.0000, 0.0000, 0.5000) and Pd at (0.2500, 0.2500, 0.2500).

As for the density: 11.5 Mg/m³. The calculation puts the energy of formation from the pure elements at -0.92 eV/atom.

The following is a DFT calculation (PBEsol) of crystalline Zn2Te at its relaxed geometry.

It has space group C2/m (No. 12), with a = 10.7471 Å, b = 3.8973 Å, c = 7.1427 Å, α = 90.00°, β = 120.68° and γ = 90.00°. Symmetry generates all atoms from Zn at (0.1567, 0.0000, 0.3763), Zn at (0.2479, 0.5000, 0.2171) and Te at (0.0691, 0.5000, 0.7885).

For the total energy, the calculation gives -2.222 eV/atom. As for the density: 6.7 Mg/m³.

The following is a DFT calculation (PBEsol) of crystalline BaYMnCoO5 at its relaxed geometry.

It has space group I4mm (No. 107), with a = 5.4166 Å, b = 5.4166 Å, c = 14.8128 Å, α = 90.00°, β = 90.00° and γ = 90.00°. Symmetry generates all atoms from Ba at (0.0000, 0.5000, 0.0000), Y at (0.0000, 0.5000, 0.2407), Mn at (0.0000, 0.0000, 0.3603), Mn at (0.0000, 0.0000, 0.8630), Co at (0.0000, 0.0000, 0.1295), Co at (0.0000, 0.0000, 0.6228), O at (0.0000, 0.0000, 0.4907), O at (0.0000, 0.0000, 0.9933), O at (0.2488, 0.2488, 0.1499) and O at (0.2492, 0.2492, 0.8399).

For the total energy, the calculation gives -8.105 eV/atom. As for the density: 6.4 Mg/m³.

The following is a DFT calculation (PBEsol) of crystalline BeAlPt2 at its relaxed geometry.

It has space group P4/mmm (No. 123), with a = 2.7830 Å, b = 2.7830 Å, c = 6.5638 Å, α = 90.00°, β = 90.00° and γ = 90.00°. Symmetry generates all atoms from Be at (0.0000, 0.0000, 0.0000), Al at (0.0000, 0.0000, 0.5000) and Pt at (0.5000, 0.5000, 0.2249).

As for the density: 13.9 Mg/m³. The calculation puts the energy of formation from the pure elements at -0.86 eV/atom.